The following is a GGA-PBE calculation of Ge2BF after structural relaxation, from the Alexandria database.

```
Ge2BF
1.0
0.000 2.928 2.928
2.928 0.000 2.928
2.928 2.928 0.000
Ge B F
2 1 1
Direct
0.250 0.250 0.250
0.750 0.750 0.750
0.000 0.000 0.000
0.500 0.500 0.500
```

Calculated values
E = -17.4 eV per cell
crystal system = cubic
space-group type = Fm-3m (225)